First-principles (PBE) data for crystalline MgGaNiRu at its relaxed geometry, as listed in the Alexandria database.

## Properties
The density of states at the Fermi level comes out at 2.2 states/eV per cell. The value obtained for the raw total energy is -5.1898 eV/atom. The density comes out at 7.70 Mg/m³. For the energy of formation, the calculation gives -0.270 eV per atom. The value obtained for the total magnetic moment is 0.000 μB per cell.

Unit cell a=4.262 b=4.262 c=4.262 alpha=60.00 beta=60.00 gamma=60.00
Fractional coordinates of all 4 atoms:
1 Ru 0.250 0.250 0.250
2 Mg 0.000 0.000 0.000
3 Ga 0.500 0.500 0.500
4 Ni 0.750 0.750 0.750